The following is a PBE calculation of a relaxed B7C5 crystal, from the Alexandria database.

## Properties
SG	No. 6
E	-7.38	eV/atom
total moment	0.0	Bohr magnetons per cell
ΔE_f	0.357	eV/atom

Lattice parameters (Å, degrees): 4.751 2.724 6.485 90.00 95.09 90.00
Fractional positions:
B 0.000 0.000 0.000
B 0.006 0.500 0.407
B 0.027 0.000 0.243
B 0.178 0.500 0.147
B 0.449 0.500 0.714
B 0.606 0.000 0.479
B 0.631 0.000 0.057
C 0.104 0.500 0.659
C 0.516 0.500 0.136
C 0.620 0.000 0.727
C 0.635 0.500 0.366
C 0.976 0.000 0.755